(1)
! NdBi4 | Alexandria | PBE-GGA | relaxed; values from VASP
&SYSTEM
  ibrav = 0, nat = 5, ntyp = 2
/
ATOMIC_SPECIES
Bi 208.98 Bi.upf
Nd 144.24 Nd.upf
CELL_PARAMETERS angstrom
6.023 0.000 0.000
0.000 6.023 0.000
0.000 0.000 6.023
ATOMIC_POSITIONS angstrom
Bi 3.011 3.011 0.000
Bi 3.011 0.000 3.011
Nd 3.011 3.011 3.011
Bi 0.000 0.000 0.000
Bi 0.000 3.011 3.011
! Total energy: -3.515 eV per atom
! ΔH_f (0 K): 543 meV per atom
! Magnetization: 0.00 μB/atom
! ΔE to the lowest computed polymorph: 769 meV/atom

(2)
! NdBi3 | Alexandria | PBE-GGA | relaxed; values from VASP
&SYSTEM
  ibrav = 0, nat = 4, ntyp = 2
/
ATOMIC_SPECIES
Bi 208.98 Bi.upf
Nd 144.24 Nd.upf
CELL_PARAMETERS angstrom
4.720 0.000 0.000
0.000 4.720 0.000
-2.360 -2.360 5.624
ATOMIC_POSITIONS angstrom
Bi 2.360 0.000 2.812
Nd 0.000 0.000 0.000
Bi 0.000 2.360 2.812
Bi 2.360 2.360 0.000
! Total energy: -4.548 eV per atom
! ΔH_f (0 K): -445 meV per atom
! Magnetization: 0.00 μB/atom

Question: Look up the ΔH_f (0 K) of the first one.
Answer: 543 meV per atom